[1]
Computed, not measured: crystalline NaInP2O7 at its relaxed geometry at the GGA-PBEsol level of DFT.

Cell: 7.525 8.202 9.857 Å, 90.00 112.11 90.00°
Positions (direct):
Na 0.714 0.522 0.713
Na 0.714 0.978 0.213
Na 0.286 0.022 0.787
Na 0.286 0.478 0.287
In 0.254 0.497 0.751
In 0.746 0.997 0.749
In 0.746 0.503 0.249
In 0.254 0.003 0.251
P 0.673 0.284 0.952
P 0.925 0.753 0.039
P 0.075 0.253 0.461
P 0.075 0.247 0.961
P 0.925 0.747 0.539
P 0.327 0.716 0.048
P 0.327 0.784 0.548
P 0.673 0.216 0.452
O 0.626 0.109 0.894
O 0.969 0.589 0.628
O 0.031 0.089 0.872
O 0.031 0.411 0.372
O 0.969 0.911 0.128
O 0.128 0.836 0.567
O 0.872 0.336 0.933
O 0.872 0.164 0.433
O 0.817 0.630 0.092
O 0.183 0.130 0.408
O 0.183 0.370 0.908
O 0.817 0.870 0.592
O 0.825 0.777 0.873
O 0.175 0.277 0.627
O 0.175 0.223 0.127
O 0.825 0.723 0.373
O 0.300 0.788 0.387
O 0.700 0.288 0.113
O 0.700 0.212 0.613
O 0.540 0.412 0.854
O 0.374 0.891 0.106
O 0.626 0.391 0.394
O 0.300 0.712 0.887
O 0.374 0.609 0.606
O 0.540 0.088 0.354
O 0.460 0.588 0.146
O 0.460 0.912 0.646
O 0.128 0.664 0.067

Values from the calculation:
Symmetry ... P2_1/c, No. 14
Formation energy from raw total energies ... -208.41 kJ per mole of atoms
Calculated total energy ... -6.9519 eV/atom
DOS(E_F) ... 0.000 states/eV/cell

[2]
Computed, not measured: crystalline TaInBr2 at its relaxed geometry at the GGA-PBEsol level of DFT.

Cell: 4.865 4.865 4.865 Å, 60.00 60.00 60.00°
Positions (direct):
In 0.500 0.500 0.500
Br 0.750 0.750 0.750
Br 0.250 0.250 0.250
Ta 0.000 0.000 0.000

Values from the calculation:
Symmetry ... Fm-3m, No. 225
Formation energy from raw total energies ... 53.30 kJ per mole of atoms
Calculated total energy ... -4.2661 eV/atom
DOS(E_F) ... 3.132 states/eV/cell

[3]
Computed, not measured: crystalline TcNi2W at its relaxed geometry at the GGA-PBEsol level of DFT.

Cell: 2.555 4.073 4.869 Å, 90.00 100.07 90.00°
Positions (direct):
Ni 0.835 0.000 0.999
Ni 0.917 0.500 0.256
Tc 0.495 0.000 0.463
W 0.254 0.500 0.782

Values from the calculation:
Formation energy from the elements ... -48 meV/atom
Symmetry ... Pm, No. 6
Calculated total energy ... -9.3955 eV/atom
DOS(E_F) ... 2.354 states/eV/cell

[4]
Computed, not measured: crystalline La2SbO2 at its relaxed geometry at the GGA-PBEsol level of DFT.

Cell: 4.004 4.004 7.489 Å, 105.50 105.50 90.00°
Positions (direct):
Sb 0.000 0.000 0.000
O 0.250 0.750 0.500
O 0.750 0.250 0.500
La 0.338 0.338 0.676
La 0.662 0.662 0.324

Values from the calculation:
Symmetry ... I4/mmm, No. 139
Formation energy from raw total energies ... -263.58 kJ per mole of atoms
Calculated total energy ... -7.8815 eV/atom
DOS(E_F) ... 1.100 states/eV/cell

[5]
Computed, not measured: crystalline LiZr2AlAs at its relaxed geometry at the GGA-PBEsol level of DFT.

Cell: 4.280 5.001 5.001 Å, 90.00 90.00 90.00°
Positions (direct):
As 0.500 0.500 0.500
Al 0.000 0.000 0.000
Zr 0.000 0.000 0.500
Zr 0.000 0.500 0.000
Li 0.500 0.000 0.000

Values from the calculation:
Formation energy from the elements ... 439 meV/atom
Symmetry ... P4/mmm, No. 123
Calculated total energy ... -5.4299 eV/atom
DOS(E_F) ... 3.586 states/eV/cell

[6]
Computed, not measured: crystalline La3ZrNb at its relaxed geometry at the GGA-PBEsol level of DFT.

Cell: 5.515 5.515 5.515 Å, 90.00 90.00 90.00°
Each line ends with the local moment (μB).
Positions (direct):
Nb 0.500 0.500 0.500  2.51
Zr 0.000 0.000 0.000  0.12
La 0.000 0.500 0.000  0.09
La 0.000 0.000 0.500  0.09
La 0.500 0.000 0.000  0.09

Values from the calculation:
Formation energy from the elements ... 1154 meV/atom
Symmetry ... Pm-3m, No. 221
Calculated total energy ... -6.0365 eV/atom
DOS(E_F) ... 6.995 states/eV/cell

[7]
Computed, not measured: crystalline Zr2TcNi at its relaxed geometry at the GGA-PBEsol level of DFT.

Cell: 4.541 4.541 4.541 Å, 60.00 60.00 60.00°
Positions (direct):
Ni 0.000 0.000 0.000
Tc 0.500 0.500 0.500
Zr 0.250 0.250 0.250
Zr 0.750 0.750 0.750

Values from the calculation:
Formation energy from the elements ... -382 meV/atom
Symmetry ... Fm-3m, No. 225
Calculated total energy ... -9.2829 eV/atom
DOS(E_F) ... 2.963 states/eV/cell

[8]
Computed, not measured: crystalline LiHS at its relaxed geometry at the GGA-PBEsol level of DFT.

Cell: 3.865 7.724 12.205 Å, 90.00 90.00 90.00°
Positions (direct):
Li 0.500 0.001 0.875
Li 0.500 0.999 0.125
Li 0.500 0.999 0.375
Li 0.500 0.501 0.875
Li 0.500 0.499 0.375
Li 0.500 0.001 0.625
Li 0.500 0.499 0.125
Li 0.500 0.501 0.625
H 0.115 0.250 0.000
H 0.115 0.750 0.500
H 0.885 0.750 0.000
H 0.885 0.250 0.500
H 0.000 0.810 0.750
H 0.000 0.190 0.250
H 0.000 0.310 0.750
H 0.000 0.690 0.250
S 0.466 0.250 0.000
S 0.534 0.250 0.500
S 0.534 0.750 0.000
S 0.466 0.750 0.500
S 0.000 0.986 0.750
S 0.000 0.014 0.250
S 0.000 0.486 0.750
S 0.000 0.514 0.250

Values from the calculation:
Symmetry ... Pcca, No. 54
Calculated total energy ... -3.9872 eV/atom
DOS(E_F) ... 0.000 states/eV/cell